# 1
PBE YCuOsW, optimized geometry; total magnetization = 0.07 μB per atom; E_form = 3.36 eV per formula unit; VASP energy = -31.004 eV for the cell shown; energy above the lowest structure with this stoichiometry = 0.590 eV/atom
1.0
0.000 3.215 3.215
3.215 0.000 3.215
3.215 3.215 0.000
Y Cu Os W
1 1 1 1
Direct
0.000 0.000 0.000
0.500 0.500 0.500
0.250 0.250 0.250
0.750 0.750 0.750

# 2
PBE LuTcSn, optimized geometry; total magnetization = 0.02 μB per atom; VASP energy = -16.656 eV for the cell shown; energy above the lowest structure with this stoichiometry = 0.771 eV/atom
1.0
0.000 3.331 3.331
3.331 0.000 3.331
3.331 3.331 0.000
Lu Tc Sn
1 1 1
Direct
0.000 0.000 0.000
0.250 0.250 0.250
0.750 0.750 0.750

# 3
PBE Nd4Pt3Au, optimized geometry; total magnetization = 0.00 μB per atom; E_form = -8.56 eV per formula unit; VASP energy = -49.044 eV for the cell shown
1.0
5.776 0.000 0.000
0.000 4.669 0.000
-0.020 0.000 7.362
Nd Pt Au
4 3 1
Direct
0.000 0.000 0.000
0.210 0.000 0.507
0.496 0.500 0.863
0.719 0.500 0.381
0.011 0.500 0.733
0.203 0.500 0.230
0.697 0.000 0.646
0.506 0.000 0.147

# 4
PBE K2AgI3, optimized geometry; VASP energy = -64.444 eV for the cell shown
1.0
10.156 0.000 0.000
0.000 4.833 0.000
0.000 0.000 19.712
K Ag I
8 4 12
Direct
0.078 0.250 0.213
0.249 0.250 0.960
0.251 0.750 0.460
0.422 0.750 0.713
0.578 0.250 0.287
0.749 0.250 0.540
0.751 0.750 0.040
0.922 0.750 0.787
0.129 0.250 0.635
0.371 0.750 0.135
0.629 0.250 0.865
0.871 0.750 0.365
0.010 0.250 0.401
0.119 0.750 0.071
0.188 0.250 0.778
0.312 0.750 0.278
0.381 0.250 0.571
0.490 0.750 0.901
0.510 0.250 0.099
0.619 0.750 0.429
0.688 0.250 0.722
0.812 0.750 0.222
0.881 0.250 0.929
0.990 0.750 0.599

- Which value of VASP energy does entry 1 give?
  -31.004 eV for the cell shown

- Which formula does entry 4 have?
  K2AgI3